Entry 1:
Zr3Pa2Fe2 after structural relaxation. Source: Alexandria, functional PBE-GGA.

Unit cell a=10.7571 b=3.3920 c=8.3881 alpha=90.00 beta=110.28 gamma=90.00
With the nearest neighbours (Å) after each atom.
Space group C2/m (No. 12)
One atom of each set of equivalent atoms:
Zr1 0.0000 0.0000 0.0000 x2  4 Fe 2.74
Zr2 0.1177 0.0000 0.4357 x4  3 Fe 2.72-2.96
Pa1 0.1711 0.5000 0.8080 x4  2 Fe 2.41
Fe1 0.1788 0.5000 0.2201 x4  2 Pa 2.41

Calculated values
ΔE_f = -0.154 eV/atom
Fermi-level density of states = 17.54 states/eV/cell
mass density = 9.80 g cm⁻³

Entry 2:
Zr2PaFe after structural relaxation. Source: Alexandria, functional PBE-GGA.

Unit cell a=3.1043 b=3.1043 c=29.9925 alpha=90.00 beta=90.00 gamma=120.00
With the nearest neighbours (Å) after each atom.
Space group R-3m (No. 166, hexagonal axes)
One atom of each set of equivalent atoms:
Zr1 0.0000 0.0000 0.1006 x6  3 Fe 2.67
Pa1 0.0000 0.0000 0.0000 x3  2 Zr 3.02, 6 Pa 3.10
Fe1 0.0000 0.0000 0.5000 x3  6 Zr 2.67

Calculated values
ΔE to the lowest computed polymorph = 483 meV/atom
ΔE_f = 0.307 eV/atom
Fermi-level density of states = 14.58 states/eV/cell
mass density = 9.34 g cm⁻³

Entry 3:
ZrPa2Fe2 after structural relaxation. Source: Alexandria, functional PBE-GGA.

Unit cell a=11.7688 b=3.4566 c=10.2458 alpha=90.00 beta=113.88 gamma=90.00
With the nearest neighbours (Å) after each atom.
Space group C2/m (No. 12)
One atom of each set of equivalent atoms:
Zr1 0.1980 0.0000 0.3593 x4  4 Fe 2.64-2.82
Pa1 0.0560 0.5000 0.7056 x4  4 Fe 2.50-2.66
Pa2 0.1692 0.5000 0.0755 x4  2 Fe 2.63
Fe1 0.0269 0.0000 0.8872 x4  4 Pa 2.63-2.66, 1 Fe 2.63, 1 Zr 2.82
Fe2 0.1178 0.0000 0.5704 x4  2 Pa 2.50, 1 Fe 2.56, 3 Zr 2.64-2.69

Calculated values
ΔE_f = -0.158 eV/atom
Fermi-level density of states = 27.04 states/eV/cell
mass density = 11.59 g cm⁻³

Entry 4:
Zr2PaFe2 after structural relaxation. Source: Alexandria, functional PBE-GGA.

Unit cell a=3.9619 b=5.3344 c=8.5989 alpha=90.00 beta=90.00 gamma=90.00
With the nearest neighbours (Å) after each atom.
Space group Immm (No. 71)
One atom of each set of equivalent atoms:
Zr1 0.0000 0.0000 0.1960 x4  6 Fe 2.90-2.95, 2 Pa 3.15
Pa1 0.0000 0.5000 0.0000 x2  4 Fe 2.41
Fe1 0.0000 0.2575 0.5000 x4  2 Pa 2.41, 1 Fe 2.59

Calculated values
ΔE_f = -0.257 eV/atom
Fermi-level density of states = 11.48 states/eV/cell
mass density = 9.60 g cm⁻³

Entry 5:
ZrPa2Fe after structural relaxation. Source: Alexandria, functional PBE-GGA.

Unit cell a=3.4351 b=3.4351 c=25.9646 alpha=90.00 beta=90.00 gamma=120.00
With the nearest neighbours (Å) after each atom.
Space group R3m (No. 160, hexagonal axes)
One atom of each set of equivalent atoms:
Zr1 0.0000 0.0000 0.0000 x3  6 Pa 3.24-3.35, 6 Zr 3.44
Pa1 0.0000 0.0000 0.5681 x3  3 Fe 2.49
Pa2 0.0000 0.0000 0.7706 x3  3 Fe 2.74
Fe1 0.0000 0.0000 0.1765 x3  6 Pa 2.49-2.74

Calculated values
ΔE to the lowest computed polymorph = 233 meV/atom
ΔE_f = 0.086 eV/atom
Fermi-level density of states = 19.30 states/eV/cell
mass density = 11.44 g cm⁻³

Entry 6:
Zr2PaFe after structural relaxation. Source: Alexandria, functional PBE-GGA.

Unit cell a=3.2066 b=3.2066 c=7.9171 alpha=90.00 beta=90.00 gamma=90.00
With the nearest neighbours (Å) after each atom.
Space group P4/mmm (No. 123)
One atom of each set of equivalent atoms:
Zr1 0.0000 0.0000 0.1978 x2  4 Fe 2.76
Pa1 0.5000 0.5000 0.5000 x1  4 Pa 3.21, 8 Zr 3.30
Fe1 0.5000 0.5000 0.0000 x1  8 Zr 2.76

Calculated values
ΔE to the lowest computed polymorph = 176 meV/atom
ΔE_f = 0.000 eV/atom
Fermi-level density of states = 6.58 states/eV/cell
mass density = 9.57 g cm⁻³

Entry 7:
ZrPa2Fe after structural relaxation. Source: Alexandria, functional PBE-GGA.

Unit cell a=6.6244 b=9.1827 c=5.5765 alpha=90.00 beta=90.00 gamma=90.00
With the nearest neighbours (Å) after each atom.
Space group Pnma (No. 62)
One atom of each set of equivalent atoms:
Zr1 0.0457 0.2500 0.1551 x4  3 Fe 2.87-2.98
Pa1 0.1824 0.0613 0.6534 x8  2 Fe 2.49-2.57
Fe1 0.0867 0.7500 0.3554 x4  4 Pa 2.49-2.57

Calculated values
ΔE to the lowest computed polymorph = 0 meV/atom
ΔE_f = -0.148 eV/atom
Fermi-level density of states = 24.71 states/eV/cell
mass density = 11.93 g cm⁻³

Entry 8:
ZrPaFe4 after structural relaxation. Source: Alexandria, functional PBE-GGA.

Unit cell a=7.0913 b=7.0913 c=7.0913 alpha=90.00 beta=90.00 gamma=90.00
With the nearest neighbours (Å) after each atom.
Space group F-43m (No. 216)
One atom of each set of equivalent atoms:
Zr1 0.0000 0.0000 0.0000 x4  12 Fe 2.94, 4 Pa 3.07
Pa1 0.2500 0.2500 0.2500 x4  12 Fe 2.94, 4 Zr 3.07
Fe1 0.1250 0.1250 0.6250 x16  6 Fe 2.51

Calculated values
ΔE_f = -0.155 eV/atom
Fermi-level density of states = 38.95 states/eV/cell
mass density = 10.16 g cm⁻³